[1]
The following is a DFT calculation (PBE) of an optimized crystal structure of KTmIn.

## Properties
Calculated density in g/cm3: 4.581
Magnetic moment in Bohr magnetons per cell: 0.96
Total energy in eV/f.u.: -7.227

a = 5.4903 Å, b = 5.4903 Å, c = 5.4903 Å
α = 60.00°, β = 60.00°, γ = 60.00°
Sites, in units of the cell vectors:
K 0.2500 0.2500 0.2500
In 0.0000 0.0000 0.0000
Tm 0.7500 0.7500 0.7500

=====

[2]
The following is a DFT calculation (PBE) of an optimized crystal structure of AcSn2W2.

## Properties
Calculated density in g/cm3: 9.412
Magnetic moment in Bohr magnetons per cell: 0.01
Total energy in eV/f.u.: -34.076

a = 4.5472 Å, b = 4.5472 Å, c = 16.3975 Å
α = 90.00°, β = 90.00°, γ = 120.00°
Sites, in units of the cell vectors:
Ac 0.0000 0.0000 0.5000
Ac 0.0000 0.0000 0.0000
Sn 0.3333 0.6667 0.1375
Sn 0.6667 0.3333 0.8625
Sn 0.3333 0.6667 0.3625
Sn 0.6667 0.3333 0.6375
W 0.3333 0.6667 0.6805
W 0.3333 0.6667 0.8195
W 0.6667 0.3333 0.3195
W 0.6667 0.3333 0.1805